Record 1
A plane-wave DFT calculation with PBE was carried out for MgScAg2 after structural relaxation.

Computed properties:
Calculated volume in Å³/f.u.: 78.63
Energy of formation in meV per atom: -183
Space group: Cm (8)
N(E_F) in states/eV per atom: 0.61

abc: 10.011 3.289 4.931
angles: 90.00 104.42 90.00
Sites, in units of the cell vectors:
Mg  0.000  0.000  0.000
Mg  0.500  0.500  0.000
Sc  0.231  0.000  0.657
Sc  0.731  0.500  0.657
Ag  0.243  0.500  0.167
Ag  0.485  0.000  0.478
Ag  0.743  0.000  0.167
Ag  0.985  0.500  0.478

=====

Record 2
A plane-wave DFT calculation with PBE was carried out for MgSc4Ag after structural relaxation.

Computed properties:
Calculated volume in Å³/f.u.: 137.27
Energy of formation in meV per atom: -88
Space group: P4/mmm (123)
N(E_F) in states/eV per atom: 0.95
Energy relative to the lowest polymorph listed for this composition in kJ/mol of formula units: 0

abc: 3.330 3.330 12.378
angles: 90.00 90.00 90.00
Sites, in units of the cell vectors:
Mg  0.000  0.000  0.000
Sc  0.000  0.000  0.352
Sc  0.000  0.000  0.648
Sc  0.500  0.500  0.174
Sc  0.500  0.500  0.826
Ag  0.500  0.500  0.500

=====

Record 3
A plane-wave DFT calculation with PBE was carried out for MgSc2Ag3 after structural relaxation.

Computed properties:
Calculated volume in Å³/f.u.: 118.32
Energy of formation in meV per atom: -269
Space group: P4/mmm (123)
N(E_F) in states/eV per atom: 0.50

abc: 3.400 3.400 10.234
angles: 90.00 90.00 90.00
Sites, in units of the cell vectors:
Mg  0.000  0.000  0.000
Sc  0.000  0.000  0.330
Sc  0.000  0.000  0.670
Ag  0.500  0.500  0.163
Ag  0.500  0.500  0.500
Ag  0.500  0.500  0.837

=====

Record 4
A plane-wave DFT calculation with PBE was carried out for MgScAg2 after structural relaxation.

Computed properties:
Calculated volume in Å³/f.u.: 78.12
Energy of formation in meV per atom: -212
Space group: P4/mmm (123)
N(E_F) in states/eV per atom: 0.79

abc: 4.844 4.844 3.329
angles: 90.00 90.00 90.00
Sites, in units of the cell vectors:
Mg  0.000  0.000  0.000
Sc  0.500  0.500  0.000
Ag  0.000  0.500  0.500
Ag  0.500  0.000  0.500

=====

Record 5
A plane-wave DFT calculation with PBE was carried out for Mg2ScAg2 after structural relaxation.

Computed properties:
Calculated volume in Å³/f.u.: 105.75
Energy of formation in meV per atom: -164
Space group: Cmmm (65)
N(E_F) in states/eV per atom: 0.42
Energy relative to the lowest polymorph listed for this composition in kJ/mol of formula units: 0

abc: 3.422 18.378 3.363
angles: 90.00 90.00 90.00
Sites, in units of the cell vectors:
Mg  0.000  0.179  0.000
Mg  0.000  0.821  0.000
Mg  0.500  0.321  0.000
Mg  0.500  0.679  0.000
Sc  0.000  0.000  0.000
Sc  0.500  0.500  0.000
Ag  0.000  0.407  0.500
Ag  0.000  0.593  0.500
Ag  0.500  0.093  0.500
Ag  0.500  0.907  0.500

=====

Record 6
A plane-wave DFT calculation with PBE was carried out for MgScAg after structural relaxation.

Computed properties:
Calculated volume in Å³/f.u.: 64.20
Energy of formation in meV per atom: -73
Space group: Pmma (51)
N(E_F) in states/eV per atom: 0.71

abc: 5.506 3.101 7.520
angles: 90.00 90.00 90.00
Sites, in units of the cell vectors:
Mg  0.000  0.000  0.000
Mg  0.500  0.000  0.000
Sc  0.250  0.500  0.346
Sc  0.750  0.500  0.654
Ag  0.250  0.000  0.671
Ag  0.750  0.000  0.329